VASP calculation (PBE+U) on a relaxed AcV2PdO8 crystal.

## Properties
The value obtained for the total energy is -86.18 eV per cell. The density of states at the Fermi level is 0.44 states/eV/atom. As for the calculated volume: 15.9 Å³ per atom.

a b c (Å): 5.6315 5.6315 6.9530
angles (deg): 90.00 90.00 120.00
Sites, in units of the cell vectors:
1 Ac 0.0000 0.0000 0.5000
2 V 0.6667 0.3333 0.2613
3 V 0.3333 0.6667 0.7387
4 Pd 0.0000 0.0000 0.0000
5 O 0.8411 0.1589 0.1987
6 O 0.8411 0.6822 0.1987
7 O 0.3178 0.1589 0.1987
8 O 0.6822 0.8411 0.8013
9 O 0.3333 0.6667 0.4954
10 O 0.6667 0.3333 0.5046
11 O 0.1589 0.8411 0.8013
12 O 0.1589 0.3178 0.8013